Version 1
An optimized crystal structure of Cs3NpBr6. Source: Alexandria, functional PBE.

```
data_Cs3NpBr6
_space_group_name_H-M_alt 'P 1'
_space_group_IT_number 1
_cell_length_a 8.966
_cell_length_b 8.511
_cell_length_c 8.511
_cell_angle_alpha 60.78
_cell_angle_beta 62.19
_cell_angle_gamma 62.19
loop_
_space_group_symop_operation_xyz
'x,y,z'
loop_
_atom_site_label
_atom_site_type_symbol
_atom_site_fract_x
_atom_site_fract_y
_atom_site_fract_z
Cs1 Cs 0.277 0.242 0.242
Cs2 Cs 0.723 0.758 0.758
Cs3 Cs 0.000 0.000 0.000
Np1 Np 0.500 0.500 0.500
Br1 Br 0.350 0.196 0.665
Br2 Br 0.650 0.335 0.804
Br3 Br 0.650 0.804 0.335
Br4 Br 0.350 0.665 0.196
Br5 Br 0.171 0.712 0.712
Br6 Br 0.829 0.288 0.288
```

Output
Crystal system ... monoclinic
M_tot ... 4.00 μB/f.u.


Version 2
An optimized crystal structure of Cs3NpBr6. Source: Alexandria, functional PBE.

```
data_Cs3NpBr6
_space_group_name_H-M_alt 'P 1'
_space_group_IT_number 1
_cell_length_a 8.521
_cell_length_b 9.060
_cell_length_c 12.208
_cell_angle_alpha 90.00
_cell_angle_beta 90.14
_cell_angle_gamma 90.00
loop_
_space_group_symop_operation_xyz
'x,y,z'
loop_
_atom_site_label
_atom_site_type_symbol
_atom_site_fract_x
_atom_site_fract_y
_atom_site_fract_z
Cs1 Cs 0.526 0.930 0.750
Cs2 Cs 0.500 0.500 0.000
Cs3 Cs 0.474 0.070 0.250
Cs4 Cs 0.026 0.570 0.250
Cs5 Cs 0.000 0.000 0.500
Cs6 Cs 0.974 0.430 0.750
Np1 Np 0.500 0.500 0.500
Np2 Np 0.000 0.000 0.000
Br1 Br 0.729 0.178 0.943
Br2 Br 0.664 0.232 0.567
Br3 Br 0.618 0.450 0.280
Br4 Br 0.382 0.550 0.720
Br5 Br 0.336 0.768 0.433
Br6 Br 0.271 0.822 0.057
Br7 Br 0.229 0.322 0.443
Br8 Br 0.164 0.268 0.067
Br9 Br 0.118 0.050 0.780
Br10 Br 0.882 0.950 0.220
Br11 Br 0.836 0.732 0.933
Br12 Br 0.771 0.678 0.557
```

Output
Crystal system ... monoclinic
M_tot ... 4.00 μB/f.u.


Relative energies in meV per atom: version 1 9; version 2 0